A plane-wave DFT calculation with PBE was carried out for a geometry-optimized PI2O2 structure.

As for the space group: P4/mmm (123). The value obtained for the total energy is -3.294 eV/atom. As for the magnetic moment: 0.3 μB per formula unit. The value obtained for the calculated volume is 140 Å³ per cell. Its formation energy (no corrections) is 0.391 eV per atom. Its excess energy over the best structure of this formula in the dataset is 91 meV/atom.

Unit cell a=4.0234 b=4.0234 c=8.6392 alpha=90.00 beta=90.00 gamma=90.00
Closest atoms and distances in Å follow each position.
Fractional coordinates of all 5 atoms:
P 0.0000 0.0000 0.0000  4 I 2.84
I 0.5000 0.5000 0.0000  4 P 2.84
I 0.5000 0.5000 0.5000  4 O 2.01
O 0.0000 0.5000 0.5000  2 I 2.01
O 0.5000 0.0000 0.5000  2 I 2.01